Density functional theory data (GGA-PBE) for a relaxed NdY2NpP4 crystal.

Structure (POSCAR):
```
NdY2NpP4
1.0
-2.6288 -0.2259 -3.0478
-5.2953 -0.1084 4.5754
1.4318 6.6115 -1.7250
Nd Y Np P
1 2 1 4
direct
0.0000 0.0000 0.0000 Nd
0.5000 0.0000 0.5000 Y
0.0000 0.5000 0.5000 Y
0.5000 0.5000 0.0000 Np
0.5000 0.2600 0.2525 P
0.5000 0.7400 0.7475 P
0.0000 0.2580 0.7517 P
0.0000 0.7420 0.2483 P
```

Output
Total energy: -7.93 eV per atom
Energy of formation: -1.40 eV per atom

Density functional theory data (GGA-PBE) for a relaxed NdNpPa crystal.

Structure (POSCAR):
```
NdNpPa
1.0
5.4112 0.0000 0.0000
0.0000 6.3596 0.0000
0.0000 0.0000 9.3704
Pa Nd Np
4 4 4
direct
0.2500 0.1258 0.9354 Pa
0.7500 0.3742 0.4354 Pa
0.7500 0.8742 0.0646 Pa
0.2500 0.6258 0.5646 Pa
0.2500 0.5689 0.1801 Nd
0.7500 0.4311 0.8199 Nd
0.2500 0.0689 0.3199 Nd
0.7500 0.9311 0.6801 Nd
0.7500 0.7680 0.3460 Np
0.7500 0.2680 0.1540 Np
0.2500 0.7320 0.8460 Np
0.2500 0.2320 0.6540 Np
```

Output
Total energy: -8.67 eV per atom
Energy of formation: 0.39 eV per atom

Density functional theory data (GGA-PBE) for a relaxed NdNp2PaSb4 crystal.

Structure (POSCAR):
```
NdNp2PaSb4
1.0
4.4296 0.0000 0.0000
0.0000 7.6879 0.1382
0.0000 -2.6791 7.1383
Nd Np Pa Sb
1 2 1 4
direct
0.0000 0.0000 0.0000 Nd
0.5000 0.0000 0.5000 Np
0.0000 0.5000 0.5000 Np
0.5000 0.5000 0.0000 Pa
0.5000 0.2567 0.2544 Sb
0.5000 0.7433 0.7456 Sb
0.0000 0.2541 0.7497 Sb
0.0000 0.7459 0.2503 Sb
```

Output
Raw formation energy: -0.51 eV per atom
Total energy: -7.59 eV per atom

Density functional theory data (GGA-PBE) for a relaxed Nd2NpPb crystal.

Structure (POSCAR):
```
Nd2NpPb
1.0
3.4127 0.0000 0.0000
1.7064 2.9555 0.0000
1.7064 0.9852 12.3358
Np Pb Nd
1 1 2
direct
0.0000 0.0000 0.0000 Np
0.5000 0.5000 0.5000 Pb
0.0902 0.0902 0.7295 Nd
0.9098 0.9098 0.2705 Nd
```

Output
Total energy: -6.20 eV per atom
Energy of formation: 0.35 eV per atom

Density functional theory data (GGA-PBE) for a relaxed Nd2Np2Pd15 crystal.

Structure (POSCAR):
```
Nd2Np2Pd15
1.0
7.0977 0.0913 0.0813
1.0113 7.0259 0.0813
1.0113 0.8876 6.9700
Nd Np Pd
2 2 15
direct
0.3545 0.3545 0.3545 Nd
0.6455 0.6455 0.6455 Nd
0.0820 0.0820 0.0820 Np
0.9180 0.9180 0.9180 Np
0.5000 0.0000 0.0000 Pd
0.0000 0.0000 0.5000 Pd
0.0000 0.5000 0.0000 Pd
0.0000 0.6812 0.3188 Pd
0.6812 0.3188 0.0000 Pd
0.3188 0.0000 0.6812 Pd
0.3188 0.6812 0.0000 Pd
0.6812 0.0000 0.3188 Pd
0.0000 0.3188 0.6812 Pd
0.1604 0.6594 0.6594 Pd
0.6594 0.6594 0.1604 Pd
0.6594 0.1604 0.6594 Pd
0.8396 0.3406 0.3406 Pd
0.3406 0.3406 0.8396 Pd
0.3406 0.8396 0.3406 Pd
```

Output
Total energy: -6.39 eV per atom
Energy of formation: -0.42 eV per atom

Density functional theory data (GGA-PBE) for a relaxed NdNp2Pd9 crystal.

Structure (POSCAR):
```
NdNp2Pd9
1.0
-0.4165 -3.7245 -1.8027
-0.6149 -1.7360 3.7287
-12.2815 1.9207 -1.1310
Nd Np Pd
1 2 9
direct
0.0000 0.0000 0.0000 Nd
0.0000 0.0000 0.3343 Np
0.0000 0.0000 0.6657 Np
0.5000 0.5000 0.0000 Pd
0.5000 0.5000 0.3354 Pd
0.5000 0.5000 0.6646 Pd
0.5000 0.0000 0.1724 Pd
0.5000 0.0000 0.5000 Pd
0.5000 0.0000 0.8276 Pd
0.0000 0.5000 0.1724 Pd
0.0000 0.5000 0.5000 Pd
0.0000 0.5000 0.8276 Pd
```

Output
Total energy: -7.01 eV per atom
Energy of formation: -0.56 eV per atom

Density functional theory data (GGA-PBE) for a relaxed NdNpPd4 crystal.

Structure (POSCAR):
```
NdNpPd4
1.0
5.4885 0.0000 0.0000
2.7442 4.7532 0.0000
2.7442 1.5844 4.4813
Np Nd Pd
1 1 4
direct
0.2500 0.2500 0.2500 Np
0.0000 0.0000 0.0000 Nd
0.6245 0.6245 0.1265 Pd
0.6245 0.1265 0.6245 Pd
0.6245 0.6245 0.6245 Pd
0.1265 0.6245 0.6245 Pd
```

Output
Total energy: -6.91 eV per atom
Energy of formation: -0.49 eV per atom

Density functional theory data (GGA-PBE) for a relaxed NdNpPdS4 crystal.

Structure (POSCAR):
```
NdNpPdS4
1.0
6.9663 0.0000 -0.1293
0.0000 5.4746 0.0000
-2.8454 0.0000 7.6632
Nd Np Pd S
2 2 2 8
direct
0.7277 0.7500 0.9466 Nd
0.2723 0.2500 0.0534 Nd
0.7314 0.7500 0.4441 Np
0.2686 0.2500 0.5559 Np
0.2183 0.7500 0.2651 Pd
0.7817 0.2500 0.7349 Pd
0.0468 0.5172 0.7315 S
0.9532 0.0172 0.2685 S
0.9532 0.4828 0.2685 S
0.0468 0.9828 0.7315 S
0.4419 0.7500 0.1099 S
0.5581 0.2500 0.8901 S
0.4297 0.7500 0.5915 S
0.5703 0.2500 0.4085 S
```

Output
Raw formation energy: -1.23 eV per atom
Total energy: -6.86 eV per atom

Density functional theory data (GGA-PBE) for a relaxed PmNd2NpSb4 crystal.

Structure (POSCAR):
```
PmNd2NpSb4
1.0
-3.3958 -1.7933 -2.3175
4.1118 0.6850 -6.5552
1.4443 -6.9139 3.2337
Pm Nd Np Sb
1 2 1 4
direct
0.5000 0.5000 0.0000 Pm
0.5000 0.0000 0.5000 Nd
0.0000 0.5000 0.5000 Nd
0.0000 0.0000 0.0000 Np
0.5000 0.2448 0.2435 Sb
0.5000 0.7552 0.7565 Sb
0.0000 0.2477 0.7549 Sb
0.0000 0.7523 0.2451 Sb
```

Output
Raw formation energy: -0.93 eV per atom
Total energy: -6.40 eV per atom

Density functional theory data (GGA-PBE) for a relaxed PmNdNp2Se4 crystal.

Structure (POSCAR):
```
PmNdNp2Se4
1.0
-0.7670 4.0722 0.3656
-3.6796 -0.1322 -6.2479
-4.4575 -1.3279 5.4407
Pm Nd Np Se
1 1 2 4
direct
0.5000 0.5000 0.0000 Pm
0.0000 0.0000 0.0000 Nd
0.5000 0.0000 0.5000 Np
0.0000 0.5000 0.5000 Np
0.5000 0.2552 0.2587 Se
0.5000 0.7448 0.7413 Se
0.0000 0.2475 0.7422 Se
0.0000 0.7525 0.2578 Se
```

Output
Raw formation energy: -1.44 eV per atom
Total energy: -7.61 eV per atom

Density functional theory data (GGA-PBE) for a relaxed PrNdNp2S4 crystal.

Structure (POSCAR):
```
PrNdNp2S4
1.0
-0.7397 0.2142 -3.9186
-6.2546 -2.8098 1.0270
-0.4706 6.8909 0.4655
Pr Nd Np S
1 1 2 4
direct
0.5000 0.5000 0.0000 Pr
0.0000 0.0000 0.0000 Nd
0.5000 0.0000 0.5000 Np
0.0000 0.5000 0.5000 Np
0.5000 0.2540 0.2656 S
0.5000 0.7460 0.7344 S
0.0000 0.2432 0.7333 S
0.0000 0.7568 0.2667 S
```

Output
Raw formation energy: -1.70 eV per atom
Total energy: -8.19 eV per atom

Density functional theory data (GGA-PBE) for a relaxed Pr2NdNpS4 crystal.

Structure (POSCAR):
```
Pr2NdNpS4
1.0
-1.4276 3.5300 -1.3495
-5.0447 -0.1776 4.8720
5.6414 3.2807 2.6133
Pr Nd Np S
2 1 1 4
direct
0.5000 0.0000 0.5000 Pr
0.0000 0.5000 0.5000 Pr
0.0000 0.0000 0.0000 Nd
0.5000 0.5000 0.0000 Np
0.5000 0.2532 0.2427 S
0.5000 0.7468 0.7573 S
0.0000 0.2606 0.7625 S
0.0000 0.7394 0.2375 S
```

Output
Raw formation energy: -1.85 eV per atom
Total energy: -7.33 eV per atom